A plane-wave DFT calculation with PBE was carried out for a geometry-optimized RuPt3 structure.

Values from the calculation:
VASP energy   -27.2 eV per cell
Spin magnetization   0.001 μB/atom
Space group   No. 65
Calculated formation energy   54 meV/atom

The structure in POSCAR format:
```
RuPt3
1.0
2.771 -3.952 0.000
2.771 3.952 0.000
0.000 0.000 2.782
Ru Pt
1 3
direct
0.000 0.000 0.000
0.000 0.500 0.500
0.500 0.000 0.500
0.500 0.500 0.000
```

***

A plane-wave DFT calculation with PBE was carried out for a geometry-optimized RuPt3 structure.

Values from the calculation:
VASP energy   -27.4 eV per cell
Spin magnetization   0.001 μB/atom
Space group   No. 166
Calculated formation energy   4 meV/atom

The structure in POSCAR format:
```
RuPt3
1.0
1.393 0.804 9.068
-1.393 0.804 9.068
0.000 -1.608 9.068
Ru Pt
1 3
direct
0.000 0.000 0.000
0.253 0.253 0.253
0.500 0.500 0.500
0.747 0.747 0.747
```

***

A plane-wave DFT calculation with PBE was carried out for a geometry-optimized RuPt3 structure.

Values from the calculation:
VASP energy   -54.3 eV per cell
Spin magnetization   0.000 μB/atom
Space group   No. 63
Calculated formation energy   68 meV/atom

The structure in POSCAR format:
```
RuPt3
1.0
2.764 -4.790 0.000
2.764 4.790 0.000
0.000 0.000 4.617
Ru Pt
2 6
direct
0.082 0.918 0.750
0.918 0.082 0.250
0.081 0.410 0.750
0.410 0.081 0.250
0.415 0.585 0.250
0.585 0.415 0.750
0.590 0.919 0.750
0.919 0.590 0.250
```

***

A plane-wave DFT calculation with PBE was carried out for a geometry-optimized RuPt5 structure.

Values from the calculation:
VASP energy   -36.8 eV per cell
Spin magnetization   0.593 μB/atom
Space group   No. 191
Calculated formation energy   455 meV/atom

The structure in POSCAR format:
```
RuPt5
1.0
5.193 0.000 0.000
-2.596 4.497 0.000
0.000 0.000 4.532
Ru Pt
1 5
direct
0.000 0.000 0.000
0.000 0.500 0.500
0.333 0.667 0.000
0.500 0.000 0.500
0.500 0.500 0.500
0.667 0.333 0.000
```

***

A plane-wave DFT calculation with PBE was carried out for a geometry-optimized Ru5Pt4 structure.

Values from the calculation:
VASP energy   -136.0 eV per cell
Spin magnetization   0.000 μB/atom
Space group   No. 193
Calculated formation energy   284 meV/atom

The structure in POSCAR format:
```
Ru5Pt4
1.0
7.620 0.000 0.000
-3.810 6.599 0.000
0.000 0.000 5.388
Ru Pt
10 8
direct
0.000 0.327 0.250
0.000 0.673 0.750
0.327 0.000 0.250
0.327 0.327 0.750
0.333 0.667 0.000
0.333 0.667 0.500
0.667 0.333 0.000
0.667 0.333 0.500
0.673 0.000 0.750
0.673 0.673 0.250
0.000 0.000 0.000
0.000 0.000 0.500
0.000 0.345 0.750
0.000 0.655 0.250
0.345 0.000 0.750
0.345 0.345 0.250
0.655 0.000 0.250
0.655 0.655 0.750
```

***

A plane-wave DFT calculation with PBE was carried out for a geometry-optimized Ru2Pt structure.

Values from the calculation:
VASP energy   -45.9 eV per cell
Spin magnetization   0.551 μB/atom
Space group   No. 227
Calculated formation energy   550 meV/atom

The structure in POSCAR format:
```
Ru2Pt
1.0
0.000 3.589 3.589
3.589 0.000 3.589
3.589 3.589 0.000
Ru Pt
4 2
direct
0.000 0.000 0.000
0.000 0.000 0.500
0.000 0.500 0.000
0.500 0.000 0.000
0.375 0.375 0.375
0.625 0.625 0.625
```

***

A plane-wave DFT calculation with PBE was carried out for a geometry-optimized Ru2Pt structure.

Values from the calculation:
VASP energy   -46.6 eV per cell
Spin magnetization   0.000 μB/atom
Space group   No. 140
Calculated formation energy   434 meV/atom

The structure in POSCAR format:
```
Ru2Pt
1.0
-3.010 3.010 2.606
3.010 -3.010 2.606
3.010 3.010 -2.606
Ru Pt
4 2
direct
0.132 0.632 0.764
0.368 0.132 0.500
0.632 0.868 0.500
0.868 0.368 0.236
0.250 0.250 0.000
0.750 0.750 0.000
```

***

A plane-wave DFT calculation with PBE was carried out for a geometry-optimized Ru3Pt structure.

Values from the calculation:
VASP energy   -33.6 eV per cell
Spin magnetization   0.000 μB/atom
Space group   No. 166
Calculated formation energy   67 meV/atom

The structure in POSCAR format:
```
Ru3Pt
1.0
1.361 0.786 8.956
-1.361 0.786 8.956
0.000 -1.571 8.956
Ru Pt
3 1
direct
0.000 0.000 0.000
0.253 0.253 0.253
0.747 0.747 0.747
0.500 0.500 0.500
```